Entry 1:
First-principles (GGA-PBE) data for BeBH after structural relaxation, as listed in Alexandria.

The total moment comes out at 0.00 μB/f.u. The density is 1.608 g/cm3. The calculation puts the calculated total energy at -0.164 Ha/atom. The space group is No. 8.

a = 3.7759 Å, b = 3.1093 Å, c = 7.3398 Å
α = 90.00°, β = 92.82°, γ = 90.00°
Last column: nearest neighbours and their distance in Å.
Sites, in units of the cell vectors:
H1 0.8470 0.0000 0.0101  1 B 1.41
H2 0.8470 0.5000 0.5101  1 B 1.41
Be1 0.5288 0.0000 0.1516  1 H 1.63
Be2 0.5288 0.5000 0.6516  1 H 1.63
H3 0.3250 0.0000 0.5086  1 B 1.26
B1 0.2640 0.5000 0.1752  1 H 1.26
B2 0.0254 0.0000 0.1840  1 H 1.41
H4 0.3250 0.5000 0.0086  1 B 1.26
B3 0.0254 0.5000 0.6840  1 H 1.41
Be3 0.7907 0.5000 0.2910  1 H 1.61
Be4 0.7907 0.0000 0.7910  1 H 1.61
B4 0.2640 0.0000 0.6752  1 H 1.26

=====

Entry 2:
First-principles (GGA-PBE) data for Y2HPtPb after structural relaxation, as listed in Alexandria.

The total moment comes out at 0.00 μB/f.u. The density is 9.632 g/cm3. The calculation puts the calculated total energy at -0.215 Ha/atom. The space group is No. 123.

a = 5.0569 Å, b = 5.0569 Å, c = 3.9178 Å
α = 90.00°, β = 90.00°, γ = 90.00°
Last column: nearest neighbours and their distance in Å.
Sites, in units of the cell vectors:
Pt1 0.0000 0.0000 0.5000  2 H 1.96
H1 0.0000 0.0000 0.0000  2 Pt 1.96
Pb1 0.5000 0.5000 0.5000  8 Y 3.20, 4 Pt 3.58
Y1 0.5000 0.0000 0.0000  2 H 2.53
Y2 0.0000 0.5000 0.0000  2 H 2.53